Sr2ZnPt | PBE-GGA | relaxed Values from VASP.

The structure in Quantum ESPRESSO input format:
```
&SYSTEM
  ibrav = 0, nat = 4, ntyp = 3
/
ATOMIC_SPECIES
Zn 65.41 Zn.upf
Sr 87.62 Sr.upf
Pt 195.08 Pt.upf
ATOMIC_POSITIONS crystal
Zn 0.469 0.232 0.829
Sr 0.718 0.478 0.086
Sr 0.887 0.653 0.572
Pt 0.136 0.898 0.830
CELL_PARAMETERS angstrom
-0.953 -0.702 -4.290
-1.551 -3.961 -1.316
-8.139 0.872 -0.643
```

Properties
As for the formation energy: -610.7 meV/atom. Its crystal system is monoclinic. As for the space group: Cm (8). The total magnetization comes out at 0.0 μB/cell. The calculation puts the uncorrected energy at -3.28 eV/atom.